This record from Alexandria describes a relaxed structure of Sm5Dy3Er2. The functional is PBE.

a = 10.927 Å, b = 9.902 Å, c = 9.902 Å
α = 56.47°, β = 56.51°, γ = 56.51°
Sites, in units of the cell vectors:
Sm 0.250 0.500 0.500
Sm 0.750 0.500 0.500
Sm 0.498 0.752 0.752
Sm 0.002 0.248 0.248
Sm 0.502 0.248 0.248
Sm 0.998 0.752 0.752
Sm 0.128 0.475 0.269
Sm 0.872 0.525 0.731
Sm 0.628 0.269 0.475
Sm 0.372 0.731 0.525
Dy 0.250 0.000 0.000
Dy 0.750 0.000 0.000
Dy 0.376 0.376 0.871
Dy 0.624 0.624 0.129
Dy 0.876 0.871 0.376
Dy 0.124 0.129 0.624
Er 0.122 0.792 0.964
Er 0.878 0.208 0.036
Er 0.622 0.964 0.792
Er 0.378 0.036 0.208

ΔE to the lowest computed polymorph: 197 meV/atom
energy of formation: 389 meV/atom
calculated total energy: -4.264 eV/atom
magnetization: 0.00 μB per cell